DFT (PBE-GGA) results for GdTmSiAg after structural relaxation.

Cell lengths 7.1204, 7.1204, 7.1204 Å; angles 90.00, 90.00, 90.00 degrees
Closest atoms and distances in Å follow each position.
Space group F-43m (No. 216)
Asymmetric unit:
Gd 0.0000 0.0000 0.0000 x4  4 Si 3.08, 4 Ag 3.08
Tm 0.0000 0.0000 0.5000 x4  4 Si 3.08, 4 Ag 3.08
Si 0.2500 0.2500 0.7500 x4  4 Gd 3.08, 4 Tm 3.08
Ag 0.2500 0.2500 0.2500 x4  4 Gd 3.08, 4 Tm 3.08

Energy in eV/atom: -7.15